Material: Pm3Nd6Ho2Tl
Method: DFT, PBE-GGA
State: relaxed

ΔH_f (0 K) = -0.0077 eV/atom
Size of the total moment = 0.0 μB/cell

The structure in POSCAR format:
```
Pm3Nd6Ho2Tl
1.0
-5.855 0.809 2.137
4.591 -1.739 3.924
2.795 11.551 0.130
Pm Nd Ho Tl
3 6 2 1
direct
0.169 0.831 0.500
0.831 0.169 0.500
0.500 0.500 0.500
0.920 0.593 0.756
0.753 0.753 0.246
0.080 0.407 0.244
0.593 0.920 0.756
0.247 0.247 0.754
0.407 0.080 0.244
0.334 0.666 0.000
0.666 0.334 0.000
0.000 0.000 0.000
```